Compound: La2BePbSe
Source: Alexandria via LeMat-Bulk
Functional: SCAN
Structure: single point on PBEsol structure

Cell lengths 4.3281, 5.5339, 5.5339 Å; angles 90.00, 90.00, 90.00 degrees
Element x y z (fractional)
Se (0.5000, 0.5000, 0.5000)
La (0.0000, 0.5000, 0.0000)
La (0.0000, 0.0000, 0.5000)
Be (0.0000, 0.0000, 0.0000)
Pb (0.5000, 0.0000, 0.0000)

space group: No. 123
formation energy without anion corrections: -0.619 eV per atom


Compound: Sr2ZrNi
Source: Alexandria via LeMat-Bulk
Functional: SCAN
Structure: single point on PBEsol structure

Cell lengths 3.5669, 5.6775, 6.6043 Å; angles 115.46, 105.67, 90.00 degrees
Element x y z (fractional)
Zr (0.5756, 0.5755, 0.1512)
Sr (0.9479, 0.9477, 0.8958)
Sr (0.7554, 0.2552, 0.5107)
Ni (0.2211, 0.7216, 0.4423)

space group: No. 44
ΔH_f (0 K): 0.262 eV per atom


Compound: NaSn3
Source: Alexandria via LeMat-Bulk
Functional: SCAN
Structure: single point on PBEsol structure

Cell lengths 5.3944, 6.6112, 6.6112 Å; angles 120.00, 90.00, 90.00 degrees
Element x y z (fractional)
Sn (0.7500, 0.3229, 0.1615)
Sn (0.7500, 0.8385, 0.6771)
Sn (0.2500, 0.1615, 0.3229)
Sn (0.7500, 0.8385, 0.1615)
Sn (0.2500, 0.1615, 0.8385)
Sn (0.2500, 0.6771, 0.8385)
Na (0.2500, 0.6667, 0.3333)
Na (0.7500, 0.3333, 0.6667)

space group: No. 194
ΔH_f (0 K): -0.102 eV per atom


Compound: KLa4Sc
Source: Alexandria via LeMat-Bulk
Functional: SCAN
Structure: single point on PBEsol structure

Cell lengths 6.7454, 6.7454, 6.7454 Å; angles 60.00, 60.00, 60.00 degrees
Element x y z (fractional)
K (0.0000, 0.0000, 0.0000)
La (0.3825, 0.8524, 0.3825)
La (0.8524, 0.3825, 0.3825)
La (0.3825, 0.3825, 0.8524)
La (0.3825, 0.3825, 0.3825)
Sc (0.7500, 0.7500, 0.7500)

space group: No. 216
ΔH_f (0 K): 0.440 eV per atom


Compound: Hf3OsO
Source: Alexandria via LeMat-Bulk
Functional: SCAN
Structure: single point on PBEsol structure

Cell lengths 4.3011, 4.3011, 4.3011 Å; angles 90.00, 90.00, 90.00 degrees
Element x y z (fractional)
Os (0.5000, 0.5000, 0.5000)
Hf (0.0000, 0.5000, 0.0000)
Hf (0.0000, 0.0000, 0.5000)
Hf (0.5000, 0.0000, 0.0000)
O (0.0000, 0.0000, 0.0000)

space group: No. 221
formation energy without anion corrections: -1.213 eV per atom


Compound: CsBS3O11
Source: Alexandria via LeMat-Bulk
Functional: SCAN
Structure: single point on PBEsol structure

Cell lengths 8.3085, 10.4699, 11.6336 Å; angles 90.00, 90.00, 103.29 degrees
Element x y z (fractional)
O (0.3429, 0.4266, 0.2347)
O (0.3310, 0.4256, 0.7044)
O (0.0166, 0.3389, 0.3940)
O (0.2348, 0.4453, 0.0399)
O (0.0405, 0.7616, 0.4182)
O (0.2249, 0.2405, 0.4850)
O (0.3225, 0.1927, 0.2349)
O (0.7148, 0.0422, 0.7818)
O (0.5405, 0.7616, 0.0818)
O (0.2751, 0.7595, 0.9850)
O (0.4770, 0.0988, 0.0913)
O (0.0528, 0.3362, 0.1859)
O (0.9595, 0.2384, 0.5818)
O (0.4595, 0.2384, 0.9182)
O (0.6690, 0.5744, 0.2956)
O (0.2852, 0.9578, 0.2182)
O (0.7852, 0.9578, 0.2818)
O (0.1571, 0.5734, 0.7347)
O (0.2652, 0.5547, 0.5399)
O (0.5528, 0.3362, 0.3141)
O (0.2148, 0.0422, 0.7182)
O (0.6571, 0.5734, 0.7653)
O (0.7249, 0.2405, 0.0150)
O (0.7652, 0.5547, 0.9601)
O (0.9770, 0.0988, 0.4087)
O (0.9472, 0.6638, 0.8141)
O (0.1775, 0.8073, 0.7349)
O (0.5166, 0.3389, 0.1060)
O (0.1731, 0.0803, 0.0690)
O (0.4472, 0.6638, 0.6859)
O (0.6775, 0.8073, 0.7651)
O (0.4834, 0.6611, 0.8940)
O (0.8429, 0.4266, 0.2653)
O (0.1690, 0.5744, 0.2044)
O (0.8310, 0.4256, 0.7956)
O (0.5230, 0.9012, 0.9087)
O (0.0230, 0.9012, 0.5913)
O (0.8225, 0.1927, 0.2651)
O (0.3269, 0.9197, 0.5690)
O (0.8269, 0.9197, 0.9310)
O (0.6731, 0.0803, 0.4310)
O (0.9834, 0.6611, 0.6060)
O (0.7348, 0.4453, 0.4601)
O (0.7751, 0.7595, 0.5150)
B (0.9338, 0.3243, 0.2801)
B (0.0662, 0.6757, 0.7199)
B (0.4338, 0.3243, 0.2199)
B (0.5662, 0.6757, 0.7801)
Cs (0.4369, 0.7585, 0.3648)
Cs (0.0631, 0.2415, 0.8648)
Cs (0.9369, 0.7585, 0.1352)
Cs (0.5631, 0.2415, 0.6352)
S (0.0533, 0.2377, 0.4790)
S (0.9467, 0.7623, 0.5210)
S (0.2966, 0.0751, 0.1533)
S (0.8004, 0.5455, 0.8403)
S (0.4467, 0.7623, 0.9790)
S (0.6996, 0.4545, 0.3403)
S (0.1996, 0.4545, 0.1597)
S (0.2034, 0.9249, 0.6533)
S (0.7034, 0.9249, 0.8467)
S (0.3004, 0.5455, 0.6597)
S (0.5533, 0.2377, 0.0210)
S (0.7966, 0.0751, 0.3467)

space group: No. 14
formation energy without anion corrections: -1.745 eV per atom


Calculated values (Bohr magnetons per cell) of total moment for the records, taken in order: 0.0, 0.0, 0.0, 0.0, 0.0, 0.4.
Calculated values (states/eV per atom) of DOS(E_F) for the records, taken in order: 0.71, 1.21, 0.48, 1.15, 0.70, 0.00.